# KRbSbAs

An optimized crystal structure of KRbSbAs (PBE, Alexandria via LeMat-Bulk).

formation energy from raw total energies: -263 meV/atom
calculated volume: 174.42 Å³ per cell

abc: 7.1795 7.1795 7.1795
angles: 141.85 129.34 65.15
Sites, in units of the cell vectors:
K 0.0000 0.0000 0.0000
Rb 0.6732 0.6732 0.0000
Sb 0.3793 0.8793 0.5000
As 0.2681 0.2681 0.0000


# BeNbSi

An optimized crystal structure of BeNbSi (PBE, Alexandria via LeMat-Bulk).

formation energy from raw total energies: -80 meV/atom
calculated volume: 44.05 Å³ per cell

abc: 4.9219 4.9219 4.9219
angles: 39.83 39.83 39.83
Sites, in units of the cell vectors:
Be 0.0000 0.0000 0.0000
Nb 0.2103 0.2103 0.2103
Si 0.4124 0.4124 0.4124


# Ba2UCuS4

An optimized crystal structure of Ba2UCuS4 (PBE, Alexandria via LeMat-Bulk).

formation energy from raw total energies: -1225 meV/atom
calculated volume: 463.65 Å³ per cell

abc: 13.4793 12.0293 7.3687
angles: 84.40 62.64 32.96
Sites, in units of the cell vectors:
Ba 0.0556 0.0556 0.6944
Ba 0.3056 0.3056 0.9444
Ba 0.6944 0.6944 0.0556
Ba 0.9444 0.9444 0.3056
U 0.1250 0.1250 0.1250
U 0.8750 0.8750 0.8750
Cu 0.3750 0.3750 0.3750
Cu 0.6250 0.6250 0.6250
S 0.0250 0.3337 0.4557
S 0.3144 0.5443 0.6663
S 0.3337 0.0250 0.6856
S 0.4557 0.6856 0.0250
S 0.5443 0.3144 0.9750
S 0.6663 0.9750 0.3144
S 0.6856 0.4557 0.3337
S 0.9750 0.6663 0.5443


# V2Hg2B

An optimized crystal structure of V2Hg2B (PBE, Alexandria via LeMat-Bulk).

ΔE to the lowest computed polymorph: 0.0422 eV/atom
calculated volume: 84.92 Å³ per cell

abc: 7.8665 7.8665 7.8665
angles: 155.30 155.30 35.22
Sites, in units of the cell vectors:
V 0.2500 0.7500 0.5000
V 0.7500 0.2500 0.5000
Hg 0.0948 0.0948 0.0000
Hg 0.9052 0.9052 0.0000
B 0.5000 0.5000 0.0000